[1]
Pm5Pr4Sc PBE relaxed; total energy = -4.6821 eV/atom; SG = No. 12; DOS(E_F) = 1.533 states/eV/atom; formation energy from the elements = 0.238 eV/atom; total magnetization = 0.00 μB per formula unit; crystal system = monoclinic
1.0
-2.4106 1.0675 4.2098
-7.3637 1.4704 -4.5895
3.3093 -9.2863 1.3194
Pm Pr Sc
5 4 1
direct
0.8414 0.8932 0.6829
0.1586 0.1068 0.3171
0.5000 0.5000 0.0000
0.8239 0.2659 0.6477
0.1761 0.7341 0.3523
0.3230 0.5725 0.6461
0.6770 0.4275 0.3539
0.9688 0.7233 0.9375
0.0312 0.2767 0.0625
0.5000 0.0000 0.0000



[2]
Nd2Fe2Ni15 PBE relaxed; total energy = -6.1335 eV/atom; SG = No. 166; DOS(E_F) = 1.033 states/eV/atom; formation energy from the elements = -0.177 eV/atom; total magnetization = 11.66 μB per formula unit; crystal system = trigonal
1.0
6.3213 -0.0180 -0.0161
0.8022 6.2702 -0.0161
0.8022 0.7041 6.2305
Fe Ni Nd
2 15 2
direct
0.9061 0.9061 0.9061
0.0939 0.0939 0.0939
0.3415 0.8486 0.3415
0.7074 0.0000 0.2926
0.0000 0.7074 0.2926
0.2926 0.0000 0.7074
0.1514 0.6585 0.6585
0.5000 0.0000 0.0000
0.0000 0.2926 0.7074
0.8486 0.3415 0.3415
0.6585 0.1514 0.6585
0.7074 0.2926 0.0000
0.0000 0.0000 0.5000
0.0000 0.5000 0.0000
0.3415 0.3415 0.8486
0.6585 0.6585 0.1514
0.2926 0.7074 0.0000
0.6569 0.6569 0.6569
0.3431 0.3431 0.3431